Pd3SeI | PBE | optimized geometry

Cell and atoms, written as POSCAR:
```
Pd3SeI
1.0
-1.5585 4.5119 1.5284
-2.7896 -2.1679 3.5554
3.8616 0.2549 3.1852
Pd I Se
3 1 1
Cartesian
-0.7793 2.2560 0.7642
-1.3948 -1.0840 1.7777
1.9308 0.1275 1.5926
0.0000 0.0000 0.0000
-0.2432 1.2995 4.1345
```

Output
E_tot: -3.41 eV per atom
SG: No. 221
Excess energy over the best structure of this formula in the dataset: 51.0 kJ per mole of atoms
Density of states at the Fermi level: 5.223 states/eV per cell
Volume: 125.9 Å³ per cell

***

Pd2Se3I | PBE | optimized geometry

Cell and atoms, written as POSCAR:
```
Pd2Se3I
1.0
6.0508 0.0646 0.0818
-0.6618 6.0149 0.0818
-0.8488 -0.9575 8.1161
I Pd Se
2 4 6
Cartesian
4.4728 0.1810 6.1688
0.0674 4.9410 2.1108
0.4162 1.8440 1.8836
1.3563 0.1557 5.9416
3.1839 4.9662 2.3379
4.1240 3.2780 6.3960
0.4633 3.7351 6.1688
3.3550 3.1068 3.9724
2.2828 1.8972 0.2491
2.2575 3.2247 8.0304
1.1853 2.0151 4.3072
4.0770 1.3868 2.1108
```

Output
E_tot: -3.75 eV per atom
SG: No. 15
Excess energy over the best structure of this formula in the dataset: 17.1 kJ per mole of atoms
Density of states at the Fermi level: 3.051 states/eV per cell
Volume: 296.7 Å³ per cell

***

PdSe2I2 | PBE | optimized geometry

Cell and atoms, written as POSCAR:
```
PdSe2I2
1.0
8.9951 0.0000 1.8218
4.4976 5.7472 0.9109
6.1050 0.0000 9.0288
I Se Pd
4 4 2
Cartesian
8.9140 3.5831 3.7528
4.4164 2.1641 2.8419
15.1813 3.5831 8.9196
10.6837 2.1641 8.0087
8.4099 0.0000 8.7395
6.5665 0.0000 7.3536
8.5336 0.0000 3.4970
6.6902 0.0000 2.1111
4.4976 3.9860 0.9109
8.9951 1.7611 1.8218
```

Output
E_tot: -3.06 eV per atom
SG: No. 12
Density of states at the Fermi level: 0.410 states/eV per cell
Volume: 402.8 Å³ per cell

***

PdSe6I12 | PBE | optimized geometry

Cell and atoms, written as POSCAR:
```
PdSe6I12
1.0
-10.4929 4.1384 5.1772
-11.9258 -0.0416 -3.4357
-10.2276 -5.5048 4.3732
Se I Pd
6 12 1
Cartesian
-8.5957 0.8526 0.5711
-8.0811 -0.0834 3.1029
-8.3947 -1.8505 1.0220
-24.2515 0.4425 5.0927
-24.5651 -1.3246 3.0119
-24.0505 -2.2606 5.5437
-13.1931 -1.2358 -1.2289
-20.1721 -4.3605 2.5407
-20.6559 1.9329 1.4065
-19.4531 -0.1722 7.3436
-11.9903 -3.3409 4.7082
-15.6942 1.3688 1.1427
-15.3397 -3.2014 1.9831
-17.3065 1.7934 4.1316
-17.8265 -1.2629 0.6520
-12.4742 2.9525 3.5741
-14.8198 -0.1451 5.4627
-16.9520 -2.7768 4.9720
0.0000 0.0000 0.0000
```

Output
E_tot: -2.28 eV per atom
SG: No. 148
Density of states at the Fermi level: 8.801 states/eV per cell
Volume: 899.3 Å³ per cell

***

Pd4Se5I | PBE | optimized geometry

Cell and atoms, written as POSCAR:
```
Pd4Se5I
1.0
-4.6179 0.5579 -1.6354
-2.0524 -6.2800 3.6528
-2.8191 6.9259 10.3230
Se Pd I
10 8 2
Cartesian
-5.7367 3.6001 6.9111
-2.8243 3.6339 4.6605
-4.6537 0.9394 2.9453
-6.7512 0.4958 8.7167
-4.2293 -2.7530 0.6920
-3.4378 -3.2342 4.2544
-4.1360 4.2066 8.7644
-2.3999 -0.0585 2.4072
-5.1739 1.0309 10.6116
-5.6682 -2.1649 4.7510
-2.1159 5.1185 7.6109
-0.7715 1.8156 2.6879
-2.1769 -1.3877 0.3365
-7.7568 2.6882 8.0646
-4.8767 2.2685 5.0160
-6.2822 -0.9347 2.6646
-5.9146 -0.9074 6.8634
-3.1914 -4.4917 2.1420
-2.6247 0.3458 6.9210
-4.4290 0.5351 -1.5685
```

Output
E_tot: -4.16 eV per atom
SG: No. 59
Density of states at the Fermi level: 9.794 states/eV per cell
Volume: 474.5 Å³ per cell

***

PdSe3I | PBE | optimized geometry

Cell and atoms, written as POSCAR:
```
PdSe3I
1.0
-0.6733 3.5524 3.4546
-1.4431 -3.4758 3.2929
4.7404 -0.5536 1.4932
Se Pd I
3 1 1
Cartesian
-0.3367 1.7762 1.7273
-0.7216 -1.7379 1.6465
2.3702 -0.2768 0.7466
0.0000 0.0000 0.0000
1.3120 -0.2385 4.1204
```

Output
E_tot: -3.01 eV per atom
SG: No. 221
Excess energy over the best structure of this formula in the dataset: 0.0 kJ per mole of atoms
Density of states at the Fermi level: 6.763 states/eV per cell
Volume: 125.1 Å³ per cell

***

Pd2SeI | PBE | optimized geometry

Cell and atoms, written as POSCAR:
```
Pd2SeI
1.0
-4.8191 -1.0430 -3.9151
-3.1856 -2.7839 4.6628
-6.1032 2.7436 1.7191
Pd I Se
4 2 2
Cartesian
-7.7197 0.4998 1.7754
-4.3318 -1.2304 2.6819
-4.7233 -0.2679 -1.2616
-11.4409 -1.1680 1.7378
0.0000 0.0000 0.0000
-7.4623 -0.1064 -0.9111
-4.0023 -1.9135 0.3738
-6.6456 -0.9769 3.3779
```

Output
E_tot: -3.90 eV per atom
SG: No. 122
Excess energy over the best structure of this formula in the dataset: 1.7 kJ per mole of atoms
Density of states at the Fermi level: 6.452 states/eV per cell
Volume: 209.4 Å³ per cell

***

Pd3SeI | PBE | optimized geometry

Cell and atoms, written as POSCAR:
```
Pd3SeI
1.0
4.8278 0.0000 0.0000
0.0000 4.8278 0.0000
0.0000 0.0000 4.8278
I Pd Se
1 3 1
Cartesian
2.4139 2.4139 2.4139
0.0000 0.0000 2.4139
2.4139 0.0000 0.0000
0.0000 2.4139 0.0000
0.0000 0.0000 0.0000
```

Output
E_tot: -3.94 eV per atom
SG: No. 221
Excess energy over the best structure of this formula in the dataset: 0.0 kJ per mole of atoms
Density of states at the Fermi level: 3.794 states/eV per cell
Volume: 112.5 Å³ per cell